# 1
First-principles (PBE-GGA) data for a geometry-optimized Hg4Se2SI structure, as listed in Alexandria via LeMat-Bulk.

abc: 6.4632 6.4632 7.8155
angles: 114.41 114.41 90.04
With the nearest neighbours (Å) after each atom.
Fractional coordinates of all 8 atoms:
Hg  0.5764  0.5764  0.7261  1 S 2.61, 2 Se 2.72
Hg  0.4243  0.8495  0.2739  1 S 2.61, 2 Se 2.72
Hg  0.8495  0.4243  0.2739  1 S 2.61, 2 Se 2.72
Hg  0.1498  0.1498  0.7262  1 S 2.61, 2 Se 2.72
Se  0.7501  0.2500  0.5001  4 Hg 2.72
Se  0.2500  0.7501  0.5001  4 Hg 2.72
S  0.4999  0.4999  0.9998  4 Hg 2.61
I  0.0003  0.0003  0.0006  4 Hg 3.14-3.15

- Formation energy without anion corrections: -137 meV per atom

=====

# 2
First-principles (PBE-GGA) data for a geometry-optimized NaTlMo2As structure, as listed in Alexandria via LeMat-Bulk.

abc: 4.7304 5.0081 4.7304
angles: 90.00 90.00 90.00
With the nearest neighbours (Å) after each atom.
Fractional coordinates of all 5 atoms:
As  0.0000  0.0000  0.0000  4 Mo 2.37, 2 Na 2.50
Tl  0.5000  0.5000  0.5000  4 Na 3.34, 8 Mo 3.44
Mo  0.0000  0.0000  0.5000  2 As 2.37
Mo  0.5000  0.0000  0.0000  2 As 2.37
Na  0.0000  0.5000  0.0000  2 As 2.50

- Energy of formation: 0.8689 eV/atom

=====

# 3
First-principles (PBE-GGA) data for a geometry-optimized BaCa2HOs structure, as listed in Alexandria via LeMat-Bulk.

abc: 5.1364 4.2044 5.1364
angles: 90.00 90.00 90.00
With the nearest neighbours (Å) after each atom.
Fractional coordinates of all 5 atoms:
H  0.0000  0.0000  0.0000  2 Os 2.10
Ca  0.0000  0.0000  0.5000  2 H 2.57
Ca  0.5000  0.0000  0.0000  2 H 2.57
Os  0.0000  0.5000  0.0000  2 H 2.10
Ba  0.5000  0.5000  0.5000  8 Ca 3.32, 4 Os 3.63

- Raw total energy: -3.65 eV per atom

=====

# 4
First-principles (PBE-GGA) data for a geometry-optimized AcLuTe2 structure, as listed in Alexandria via LeMat-Bulk.

abc: 3.9611 5.5082 5.5082
angles: 90.00 90.00 90.00
With the nearest neighbours (Å) after each atom.
Fractional coordinates of all 4 atoms:
Ac  0.5000  0.0000  0.0000  8 Te 3.39
Lu  0.5000  0.5000  0.5000  8 Te 3.39
Te  0.0000  0.0000  0.5000  4 Lu 3.39, 4 Ac 3.39
Te  0.0000  0.5000  0.0000  4 Lu 3.39, 4 Ac 3.39

- E above lowest polymorph: 0.000 eV/f.u.
- Formation energy without anion corrections: -1144 meV per atom

=====

# 5
First-principles (PBE-GGA) data for a geometry-optimized Tm2ThCu structure, as listed in Alexandria via LeMat-Bulk.

abc: 3.4936 3.4936 8.3085
angles: 90.00 90.00 90.00
With the nearest neighbours (Å) after each atom.
Fractional coordinates of all 4 atoms:
Tm  0.0000  0.0000  0.8002  4 Cu 2.98, 1 Tm 3.32
Tm  0.0000  0.0000  0.1998  4 Cu 2.98, 1 Tm 3.32
Cu  0.5000  0.5000  0.0000  8 Tm 2.98
Th  0.5000  0.5000  0.5000  4 Th 3.49, 8 Tm 3.51

- Energy of formation: -0.1074 eV/atom
- E above lowest polymorph: 0.000 eV/f.u.

=====

# 6
First-principles (PBE-GGA) data for a geometry-optimized BaZr3Tl structure, as listed in Alexandria via LeMat-Bulk.

abc: 5.3270 5.3270 5.3270
angles: 90.00 90.00 90.00
With the nearest neighbours (Å) after each atom.
Fractional coordinates of all 5 atoms:
Tl  0.5000  0.5000  0.5000  12 Zr 3.77
Ba  0.0000  0.0000  0.0000  6 Zr 2.66
Zr  0.0000  0.5000  0.0000  2 Ba 2.66
Zr  0.0000  0.0000  0.5000  2 Ba 2.66
Zr  0.5000  0.0000  0.0000  2 Ba 2.66

- Energy of formation: 1.6463 eV/atom
- E above lowest polymorph: 3.372 eV/f.u.

=====

# 7
First-principles (PBE-GGA) data for a geometry-optimized BeP2PbO structure, as listed in Alexandria via LeMat-Bulk.

abc: 5.2811 5.2811 4.0638
angles: 90.00 90.00 90.00
With the nearest neighbours (Å) after each atom.
Fractional coordinates of all 5 atoms:
Pb  0.0000  0.0000  0.0000  2 O 2.03
P  0.0000  0.5000  0.0000  2 Pb 2.64
P  0.5000  0.0000  0.0000  2 Pb 2.64
O  0.0000  0.0000  0.5000  2 Pb 2.03
Be  0.5000  0.5000  0.5000  8 P 3.33

- E above lowest polymorph: 6.740 eV/f.u.
- Formation energy without anion corrections: 1274 meV per atom

=====

# 8
First-principles (PBE-GGA) data for a geometry-optimized RbCu2Br structure, as listed in Alexandria via LeMat-Bulk.

abc: 5.2568 5.2568 5.2568
angles: 60.00 60.00 60.00
With the nearest neighbours (Å) after each atom.
Fractional coordinates of all 4 atoms:
Cu  0.2500  0.2500  0.2500  4 Br 3.22, 4 Rb 3.22
Cu  0.7500  0.7500  0.7500  4 Br 3.22, 4 Rb 3.22
Br  0.0000  0.0000  0.0000  8 Cu 3.22
Rb  0.5000  0.5000  0.5000  8 Cu 3.22

- E above lowest polymorph: 2.101 eV/f.u.
- Formation energy without anion corrections: 566 meV per atom

=====

# 9
First-principles (PBE-GGA) data for a geometry-optimized YAlSe3 structure, as listed in Alexandria via LeMat-Bulk.

abc: 7.1152 7.2343 9.9749
angles: 90.00 97.79 90.00
With the nearest neighbours (Å) after each atom.
Fractional coordinates of all 20 atoms:
Y  0.9262  0.6359  0.2828  6 Se 2.83-3.08
Y  0.5738  0.1359  0.2172  6 Se 2.83-3.08
Y  0.0738  0.3641  0.7172  6 Se 2.83-3.08
Y  0.4262  0.8641  0.7828  6 Se 2.83-3.08
Al  0.3471  0.6817  0.1246  4 Se 2.37-2.53
Al  0.1529  0.1817  0.3754  4 Se 2.37-2.53
Al  0.6529  0.3183  0.8754  4 Se 2.37-2.53
Al  0.8471  0.8183  0.6246  4 Se 2.37-2.53
Se  0.1396  0.6991  0.5691  1 Al 2.39
Se  0.3604  0.1991  0.9309  1 Al 2.39
Se  0.8604  0.3009  0.4309  1 Al 2.39
Se  0.6396  0.8009  0.0691  1 Al 2.39
Se  0.8433  0.0526  0.7993  2 Al 2.43-2.53
Se  0.6567  0.5526  0.7007  2 Al 2.43-2.53
Se  0.1567  0.9474  0.2007  2 Al 2.43-2.53
Se  0.3433  0.4474  0.2993  2 Al 2.43-2.53
Se  0.6579  0.8352  0.4106  1 Al 2.37
Se  0.8421  0.3352  0.0894  1 Al 2.37
Se  0.3421  0.1648  0.5894  1 Al 2.37
Se  0.1579  0.6648  0.9106  1 Al 2.37

- E above lowest polymorph: 0.574 eV/f.u.
- Formation energy without anion corrections: -1256 meV per atom

=====

# 10
First-principles (PBE-GGA) data for a geometry-optimized La2AgAs structure, as listed in Alexandria via LeMat-Bulk.

abc: 6.3154 6.3154 6.3154
angles: 139.16 139.16 59.12
With the nearest neighbours (Å) after each atom.
Fractional coordinates of all 4 atoms:
As  0.7500  0.2500  0.5000  4 La 3.12
Ag  0.5000  0.5000  0.0000  4 La 3.12
La  0.0000  0.0000  0.0000  4 Ag 3.12
La  0.2500  0.7500  0.5000  4 As 3.12

- Energy of formation: -0.6615 eV/atom

=====

no.,density of states at the Fermi level (states/eV per atom),magnetization (μB/cell)
1,0.364,0.00
2,0.930,1.33
3,0.815,0.00
4,0.858,0.31
5,1.422,0.00
6,0.612,0.88
7,0.924,0.00
8,0.490,0.00
9,0.000,0.00
10,0.532,0.00